Entry 1:
# HfNbBr2

A relaxed structure of HfNbBr2 (PBE, Alexandria).

a = 3.3133 Å, b = 6.3987 Å, c = 11.0309 Å
α = 103.91°, β = 96.08°, γ = 95.73°
Closest atoms and distances in Å follow each position.
Element x y z (fractional)
Hf  0.0000  0.0000  0.0000  3 Br 2.68-2.92, 2 Nb 2.81-2.87
Hf  0.2565  0.3032  0.4188  4 Br 2.68-2.81, 2 Nb 2.90-2.97
Nb  0.5845  0.3166  0.1798  1 Nb 2.57, 2 Br 2.86-2.87, 1 Hf 2.87
Nb  0.7457  0.9587  0.2291  1 Nb 2.57, 2 Br 2.78-2.87, 1 Hf 2.81
Br  0.1093  0.6180  0.0952  4 Nb 2.78-2.87, 1 Hf 2.92
Br  0.4097  0.8371  0.8046  2 Hf 2.68-2.72
Br  0.8072  0.2450  0.5994  2 Hf 2.68
Br  0.8072  0.6508  0.4126  2 Hf 2.75-2.81, 1 Nb 2.89

Results
V in Å³ per atom: 28.0
DOS at the Fermi energy in states/eV/atom: 0.35
Formation energy (no corrections) in eV per atom: -0.481

Entry 2:
# HfNbBr2

A relaxed structure of HfNbBr2 (PBE, Alexandria).

a = 3.3574 Å, b = 3.3575 Å, c = 9.9281 Å
α = 89.22°, β = 88.98°, γ = 61.04°
Closest atoms and distances in Å follow each position.
Element x y z (fractional)
Hf  0.0000  0.0000  0.0000  3 Br 2.72-2.76, 2 Nb 2.89
Nb  0.4644  0.4701  0.2342  3 Br 2.65-2.67, 2 Hf 2.89
Br  0.1227  0.1328  0.4177  3 Nb 2.65-2.67
Br  0.6788  0.6741  0.8052  3 Hf 2.72-2.76

Results
V in Å³ per atom: 24.5
DOS at the Fermi energy in states/eV/atom: 0.62
Formation energy (no corrections) in eV per atom: -0.651

Entry 3:
# HfNbBr2

A relaxed structure of HfNbBr2 (PBE, Alexandria).

a = 10.0979 Å, b = 10.0979 Å, c = 5.6295 Å
α = 92.86°, β = 92.86°, γ = 20.09°
Closest atoms and distances in Å follow each position.
Element x y z (fractional)
Hf  0.1895  0.1895  0.4775  3 Br 2.64-2.74
Hf  0.8105  0.8105  0.5225  3 Br 2.64-2.74
Nb  0.3039  0.3039  0.9988  3 Br 2.74-2.75, 2 Nb 2.78
Nb  0.6961  0.6961  0.0012  3 Br 2.74-2.75, 2 Nb 2.78
Br  0.1014  0.1014  0.8139  1 Hf 2.64, 2 Nb 2.75
Br  0.4066  0.4066  0.6925  2 Hf 2.74, 1 Nb 2.74
Br  0.5934  0.5934  0.3075  2 Hf 2.74, 1 Nb 2.74
Br  0.8986  0.8986  0.1861  1 Hf 2.64, 2 Nb 2.75

Results
V in Å³ per atom: 24.6
DOS at the Fermi energy in states/eV/atom: 0.46
Formation energy (no corrections) in eV per atom: -0.654

Entry 4:
# HfNbBr2

A relaxed structure of HfNbBr2 (PBE, Alexandria).

a = 9.5542 Å, b = 9.5542 Å, c = 9.5542 Å
α = 19.48°, β = 19.48°, γ = 19.48°
Closest atoms and distances in Å follow each position.
Element x y z (fractional)
Hf  0.0000  0.0000  0.0000  6 Br 2.76
Nb  0.5000  0.5000  0.5000  2 Br 2.66
Br  0.4055  0.4055  0.4055  1 Nb 2.66, 3 Hf 2.76
Br  0.5945  0.5945  0.5945  1 Nb 2.66, 3 Hf 2.76

Results
V in Å³ per atom: 21.2
DOS at the Fermi energy in states/eV/atom: 0.70
Formation energy (no corrections) in eV per atom: -0.087

Entry 5:
# HfNb3Br

A relaxed structure of HfNb3Br (PBE, Alexandria).

a = 5.0220 Å, b = 5.0220 Å, c = 5.0220 Å
α = 90.00°, β = 90.00°, γ = 90.00°
Closest atoms and distances in Å follow each position.
Element x y z (fractional)
Hf  0.0000  0.0000  0.0000  6 Nb 2.51
Nb  0.0000  0.0000  0.5000  2 Hf 2.51
Nb  0.0000  0.5000  0.0000  2 Hf 2.51
Nb  0.5000  0.0000  0.0000  2 Hf 2.51
Br  0.5000  0.5000  0.5000  12 Nb 3.55

Results
Energy relative to the lowest polymorph listed for this composition in meV/atom: 851
V in Å³ per atom: 25.3
DOS at the Fermi energy in states/eV/atom: 1.10
Formation energy (no corrections) in eV per atom: 1.733

Entry 6:
# HfNbPdBr2

A relaxed structure of HfNbPdBr2 (PBE, Alexandria).

a = 4.9090 Å, b = 4.9090 Å, c = 5.1597 Å
α = 90.00°, β = 90.00°, γ = 90.00°
Closest atoms and distances in Å follow each position.
Element x y z (fractional)
Hf  0.0000  0.0000  0.0000  4 Nb 3.47, 8 Br 3.56
Nb  0.5000  0.5000  0.0000  2 Pd 2.58
Pd  0.5000  0.5000  0.5000  4 Br 2.45, 2 Nb 2.58
Br  0.0000  0.5000  0.5000  2 Pd 2.45
Br  0.5000  0.0000  0.5000  2 Pd 2.45

Results
V in Å³ per atom: 24.9
DOS at the Fermi energy in states/eV/atom: 0.99
Formation energy (no corrections) in eV per atom: 1.003